1.
# CoSi4W GGA-PBE optimized geometry
# - energy (eV per cell) = -155.8
# - formation energy from raw total energies (eV/atom) = 0.466
data_CoSi4W
_chemical_formula_sum 'Co4 Si16 W4'
_symmetry_space_group_name_H-M 'F -4 3 m'
_symmetry_Int_Tables_number 216
_symmetry_space_group_name_Hall 'F -4 2 3'
_cell_length_a 6.7457
_cell_length_b 6.7457
_cell_length_c 6.7457
_cell_angle_alpha 90.00
_cell_angle_beta 90.00
_cell_angle_gamma 90.00
loop_
_atom_site_label
_atom_site_fract_x
_atom_site_fract_y
_atom_site_fract_z
_atom_site_occupancy
Co1 0.0000 0.0000 0.0000 1
Si1 0.1251 0.1251 0.6251 1
W1 0.2500 0.2500 0.2500 1

=====

2.
# YCoSi2 GGA-PBE optimized geometry
# - energy (eV per cell) = -50.4
# - formation energy from raw total energies (eV/atom) = -0.197
data_YCoSi2
_chemical_formula_sum 'Y2 Co2 Si4'
_symmetry_space_group_name_H-M 'I m m m'
_symmetry_Int_Tables_number 71
_symmetry_space_group_name_Hall '-I 2 2'
_cell_length_a 2.8618
_cell_length_b 5.2364
_cell_length_c 8.9177
_cell_angle_alpha 90.00
_cell_angle_beta 90.00
_cell_angle_gamma 90.00
loop_
_atom_site_label
_atom_site_fract_x
_atom_site_fract_y
_atom_site_fract_z
_atom_site_occupancy
Y1 0.0000 0.0000 0.0000 1
Co1 0.0000 0.0000 0.5000 1
Si1 0.0000 0.5000 0.2056 1

=====

3.
# YCo2Si2 GGA-PBE optimized geometry
# - energy (eV per cell) = -66.3
# - formation energy from raw total energies (eV/atom) = -0.327
data_YCo2Si2
_chemical_formula_sum 'Y2 Co4 Si4'
_symmetry_space_group_name_H-M 'P 4/m b m'
_symmetry_Int_Tables_number 127
_symmetry_space_group_name_Hall '-P 4 2ab'
_cell_length_a 7.1400
_cell_length_b 7.1400
_cell_length_c 2.7271
_cell_angle_alpha 90.00
_cell_angle_beta 90.00
_cell_angle_gamma 90.00
loop_
_atom_site_label
_atom_site_fract_x
_atom_site_fract_y
_atom_site_fract_z
_atom_site_occupancy
Y1 0.0000 0.0000 0.0000 1
Co1 0.1324 0.3676 0.0000 1
Si1 0.1506 0.6506 0.5000 1

=====

4.
# YCo9Si3 GGA-PBE optimized geometry
# - energy (eV per cell) = -182.1
# - formation energy from raw total energies (eV/atom) = -0.334
data_YCo9Si3
_chemical_formula_sum 'Y2 Co18 Si6'
_symmetry_space_group_name_H-M 'C 1 2/m 1'
_symmetry_Int_Tables_number 12
_symmetry_space_group_name_Hall '-C 2y'
_cell_length_a 4.7230
_cell_length_b 11.5724
_cell_length_c 6.1307
_cell_angle_alpha 90.00
_cell_angle_beta 111.63
_cell_angle_gamma 90.00
loop_
_atom_site_label
_atom_site_fract_x
_atom_site_fract_y
_atom_site_fract_z
_atom_site_occupancy
Y1 0.0000 0.0000 0.0000 1
Co1 0.0000 0.0000 0.5000 1
Co2 0.1102 0.3852 0.2254 1
Co3 0.1735 0.1778 0.3518 1
Si1 0.0000 0.5000 0.5000 1
Si2 0.2500 0.2500 0.0000 1

=====

5.
# YCoSi2 GGA-PBE optimized geometry
# - energy (eV per cell) = -49.6
# - formation energy from raw total energies (eV/atom) = -0.095
data_YCoSi2
_chemical_formula_sum 'Y2 Co2 Si4'
_symmetry_space_group_name_H-M 'I -4 m 2'
_symmetry_Int_Tables_number 119
_symmetry_space_group_name_Hall 'I -4 -2'
_cell_length_a 3.9509
_cell_length_b 3.9509
_cell_length_c 8.4092
_cell_angle_alpha 90.00
_cell_angle_beta 90.00
_cell_angle_gamma 90.00
loop_
_atom_site_label
_atom_site_fract_x
_atom_site_fract_y
_atom_site_fract_z
_atom_site_occupancy
Y1 0.0000 0.0000 0.0000 1
Co1 0.0000 0.5000 0.7500 1
Si1 0.0000 0.0000 0.5000 1
Si2 0.0000 0.5000 0.2500 1

=====

6.
# YCo9Si2 GGA-PBE optimized geometry
# - energy (eV per cell) = -340.3
# - formation energy from raw total energies (eV/atom) = -0.317
data_YCo9Si2
_chemical_formula_sum 'Y4 Co36 Si8'
_symmetry_space_group_name_H-M 'I 41/a m d'
_symmetry_Int_Tables_number 141
_cell_length_a 9.6630
_cell_length_b 9.6630
_cell_length_c 6.2683
_cell_angle_alpha 90.00
_cell_angle_beta 90.00
_cell_angle_gamma 90.00
loop_
_symmetry_equiv_pos_as_xyz
'x,y,z'
'-x,-y,-z'
'-y+1/4,x+3/4,z+1/4'
'y+1/4,-x+3/4,-z+1/4'
'-x+1/2,-y,z+1/2'
'x+1/2,y,-z+1/2'
'y+1/4,-x+1/4,z+3/4'
'-y+1/4,x+1/4,-z+3/4'
'x,-y,-z'
'-x,y,z'
'-y+1/4,-x+1/4,-z+3/4'
'y+1/4,x+1/4,z+3/4'
'-x+1/2,y,-z+1/2'
'x+1/2,-y,z+1/2'
'y+1/4,x+3/4,-z+1/4'
'-y+1/4,-x+3/4,z+1/4'
'x+1/2,y+1/2,z+1/2'
'-x+1/2,-y+1/2,-z+1/2'
'-y+3/4,x+1/4,z+3/4'
'y+3/4,-x+1/4,-z+3/4'
'-x,-y+1/2,z'
'x,y+1/2,-z'
'y+3/4,-x+3/4,z+1/4'
'-y+3/4,x+3/4,-z+1/4'
'x+1/2,-y+1/2,-z+1/2'
'-x+1/2,y+1/2,z+1/2'
'-y+3/4,-x+3/4,-z+1/4'
'y+3/4,x+3/4,z+1/4'
'-x,y+1/2,-z'
'x,-y+1/2,z'
'y+3/4,x+1/4,-z+3/4'
'-y+3/4,-x+1/4,z+3/4'
loop_
_atom_site_label
_atom_site_fract_x
_atom_site_fract_y
_atom_site_fract_z
_atom_site_occupancy
Y1 0.0000 0.2500 0.3750 1
Co1 0.0000 0.2500 0.8750 1
Co2 0.1236 0.0442 0.6839 1
Si1 0.0000 0.0000 0.0000 1

=====

7.
# Y3CoSi3 GGA-PBE optimized geometry
# - energy (eV per cell) = -193.5
# - formation energy from raw total energies (eV/atom) = -0.802
data_Y3CoSi3
_chemical_formula_sum 'Y12 Co4 Si12'
_symmetry_space_group_name_H-M 'C 1 2/m 1'
_symmetry_Int_Tables_number 12
_symmetry_space_group_name_Hall '-C 2y'
_cell_length_a 10.5098
_cell_length_b 4.1715
_cell_length_c 13.4906
_cell_angle_alpha 90.00
_cell_angle_beta 111.14
_cell_angle_gamma 90.00
loop_
_atom_site_label
_atom_site_fract_x
_atom_site_fract_y
_atom_site_fract_z
_atom_site_occupancy
Y1 0.0239 0.0000 0.3793 1
Y2 0.1009 0.0000 0.9196 1
Y3 0.2468 0.0000 0.2288 1
Co1 0.2467 0.5000 0.4182 1
Si1 0.0537 0.5000 0.2422 1
Si2 0.1143 0.5000 0.0762 1
Si3 0.1413 0.5000 0.5439 1

=====

8.
# YCoSi2 GGA-PBE optimized geometry
# - energy (eV per cell) = -81.3
# - formation energy from raw total energies (eV/atom) = -0.670
data_YCoSi2
_chemical_formula_sum 'Y3 Co3 Si6'
_symmetry_space_group_name_H-M 'R 3 m'
_symmetry_Int_Tables_number 160
_symmetry_space_group_name_Hall 'R 3 -2"'
_cell_length_a 3.8933
_cell_length_b 3.8933
_cell_length_c 15.4562
_cell_angle_alpha 90.00
_cell_angle_beta 90.00
_cell_angle_gamma 120.00
loop_
_atom_site_label
_atom_site_fract_x
_atom_site_fract_y
_atom_site_fract_z
_atom_site_occupancy
Y1 0.0000 0.0000 0.0000 1
Co1 0.0000 0.0000 0.1892 1
Si1 0.0000 0.0000 0.5429 1
Si2 0.0000 0.0000 0.7966 1